Record 1
Material: TlIn2Sb
Method: DFT, meta-GGA SCAN
State: PBEsol geometry

Crystal system: monoclinic
Calculated total energy, Ry per atom: -3.238
Formation energy from raw total energies, eV per atom: 0.041
Magnetization, μB per formula unit: 0.000
Distance to the lowest polymorph of the same formula, eV per formula unit: 0.00

a = 3.149 Å, b = 5.372 Å, c = 6.388 Å
α = 90.00°, β = 95.45°, γ = 90.00°
Space group P2/m (No. 10)
Unique sites:
Tl1 0.000 0.000 0.000 [1 per cell]
In1 0.406 0.500 0.748 [2 per cell]
Sb1 0.500 0.000 0.500 [1 per cell]

Record 2
Material: ZnSnO2
Method: DFT, meta-GGA SCAN
State: PBEsol geometry

Crystal system: cubic
Calculated total energy, Ry per atom: -1.166
Formation energy from raw total energies, eV per atom: -0.396
Magnetization, μB per formula unit: 0.000
Distance to the lowest polymorph of the same formula, eV per formula unit: 3.85

a = 5.800 Å, b = 5.800 Å, c = 5.800 Å
α = 90.00°, β = 90.00°, γ = 90.00°
Space group Fm-3m (No. 225)
Unique sites:
Zn1 0.000 0.000 0.000 [4 per cell]
Sn1 0.000 0.000 0.500 [4 per cell]
O1 0.250 0.250 0.250 [8 per cell]

Record 3
Material: SrLiTc
Method: DFT, meta-GGA SCAN
State: PBEsol geometry

Crystal system: cubic
Calculated total energy, Ry per atom: -1.379
Magnetization, μB per formula unit: 2.470
E_form, eV/atom: 1.150

a = 6.601 Å, b = 6.601 Å, c = 6.601 Å
α = 90.00°, β = 90.00°, γ = 90.00°
Space group F-43m (No. 216)
Unique sites:
Sr1 0.000 0.000 0.000 [4 per cell]
Li1 0.250 0.250 0.250 [4 per cell]
Tc1 0.000 0.000 0.500 [4 per cell]

Record 4
Material: K4MgCo
Method: DFT, meta-GGA SCAN
State: PBEsol geometry

Crystal system: cubic
Calculated total energy, Ry per atom: -0.617
Magnetization, μB per formula unit: 2.020
E_form, eV/atom: 0.866

a = 10.206 Å, b = 10.206 Å, c = 10.206 Å
α = 90.00°, β = 90.00°, γ = 90.00°
Space group F-43m (No. 216)
Unique sites:
K1 0.124 0.124 0.376 [16 per cell]
Mg1 0.000 0.000 0.000 [4 per cell]
Co1 0.250 0.250 0.750 [4 per cell]

Record 5
Material: AlCo2H2
Method: DFT, meta-GGA SCAN
State: PBEsol geometry

Crystal system: tetragonal
Calculated total energy, Ry per atom: -0.734
Magnetization, μB per formula unit: 1.358

a = 2.799 Å, b = 2.799 Å, c = 9.647 Å
α = 90.00°, β = 90.00°, γ = 90.00°
Space group I4/mmm (No. 139)
Unique sites:
Al1 0.000 0.000 0.000 [2 per cell]
Co1 0.000 0.000 0.351 [4 per cell]
H1 0.000 0.500 0.250 [4 per cell]

Record 6
Material: ScIr3
Method: DFT, meta-GGA SCAN
State: PBEsol geometry

Crystal system: hexagonal
Calculated total energy, Ry per atom: -4.230
Magnetization, μB per formula unit: 0.000
E_form, eV/atom: -0.667

a = 5.5449 Å, b = 5.5449 Å, c = 4.4672 Å
α = 90.00°, β = 90.00°, γ = 120.00°
Space group P6_3/mmc (No. 194)
Unique sites:
Sc1 0.3333 0.6667 0.2500 [2 per cell]
Ir1 0.1648 0.3296 0.7500 [6 per cell]

> Which value of magnetization does entry 5 give?

1.358 μB per formula unit